[1]
Material: LaMgSc
Method: DFT, PBE-GGA
State: optimized geometry

Computed properties:
SG: C2/m, No. 12
DOS at the Fermi energy (states/eV/cell): 17.7
Energy relative to the elements (eV per atom): 0.02
Energy (eV for the cell shown): -51.18

a = 16.716 Å, b = 3.698 Å, c = 5.559 Å
α = 90.00°, β = 90.13°, γ = 90.00°
Positions (direct):
La 0.087 0.000 0.245
La 0.413 0.500 0.755
La 0.587 0.500 0.245
La 0.913 0.000 0.755
Mg 0.085 0.500 0.744
Mg 0.415 0.000 0.256
Mg 0.585 0.000 0.744
Mg 0.915 0.500 0.256
Sc 0.236 0.000 0.749
Sc 0.264 0.500 0.251
Sc 0.736 0.500 0.749
Sc 0.764 0.000 0.251


[2]
Material: La6Mg5Sc
Method: DFT, PBE-GGA
State: optimized geometry

Computed properties:
SG: P2/m, No. 10
DOS at the Fermi energy (states/eV/cell): 14.6
Energy relative to the elements (eV per atom): -0.08
Energy (eV for the cell shown): -44.77

a = 5.613 Å, b = 7.894 Å, c = 8.886 Å
α = 90.00°, β = 108.49°, γ = 90.00°
Positions (direct):
La 0.000 0.246 0.000
La 0.000 0.754 0.000
La 0.335 0.251 0.667
La 0.335 0.749 0.667
La 0.665 0.251 0.333
La 0.665 0.749 0.333
Mg 0.162 0.500 0.327
Mg 0.166 0.000 0.336
Mg 0.500 0.000 0.000
Mg 0.834 0.000 0.664
Mg 0.838 0.500 0.673
Sc 0.500 0.500 0.000


[3]
Material: La4Mg5Sc
Method: DFT, PBE-GGA
State: optimized geometry

Computed properties:
SG: P4/mmm, No. 123
DOS at the Fermi energy (states/eV/cell): 12.3
Energy relative to the elements (eV per atom): -0.09
Energy (eV for the cell shown): -34.87

a = 3.878 Å, b = 3.878 Å, c = 19.599 Å
α = 90.00°, β = 90.00°, γ = 90.00°
Positions (direct):
La 0.000 0.000 0.105
La 0.000 0.000 0.312
La 0.000 0.000 0.688
La 0.000 0.000 0.895
Mg 0.500 0.500 0.000
Mg 0.500 0.500 0.208
Mg 0.500 0.500 0.418
Mg 0.500 0.500 0.582
Mg 0.500 0.500 0.792
Sc 0.000 0.000 0.500


[4]
Material: La2Mg6Sc
Method: DFT, PBE-GGA
State: optimized geometry

Computed properties:
SG: P6/mmm, No. 191
DOS at the Fermi energy (states/eV/cell): 8.3
Energy relative to the elements (eV per atom): -0.06
Energy (eV for the cell shown): -26.33

a = 9.166 Å, b = 9.166 Å, c = 3.303 Å
α = 90.00°, β = 90.00°, γ = 120.00°
Positions (direct):
La 0.333 0.667 0.000
La 0.667 0.333 0.000
Mg 0.000 0.322 0.500
Mg 0.000 0.678 0.500
Mg 0.322 0.000 0.500
Mg 0.322 0.322 0.500
Mg 0.678 0.000 0.500
Mg 0.678 0.678 0.500
Sc 0.000 0.000 0.000


[5]
Material: LaMgSc
Method: DFT, PBE-GGA
State: optimized geometry

Computed properties:
SG: R-3m, No. 166
DOS at the Fermi energy (states/eV/cell): 8.8
Energy relative to the elements (eV per atom): 0.16
Energy (eV for the cell shown): -24.75

a = 7.628 Å, b = 7.628 Å, c = 7.628 Å
α = 41.86°, β = 41.86°, γ = 41.86°
Positions (direct):
La 0.116 0.116 0.116
La 0.884 0.884 0.884
Mg 0.433 0.433 0.433
Mg 0.567 0.567 0.567
Sc 0.291 0.291 0.291
Sc 0.709 0.709 0.709


[6]
Material: LaMgSc
Method: DFT, PBE-GGA
State: optimized geometry

Computed properties:
SG: I4mm, No. 107
DOS at the Fermi energy (states/eV/cell): 8.5
Energy relative to the elements (eV per atom): 0.00
Energy (eV for the cell shown): -25.73

a = 3.636 Å, b = 3.636 Å, c = 12.928 Å
α = 90.00°, β = 90.00°, γ = 90.00°
Positions (direct):
La 0.000 0.000 0.000
La 0.500 0.500 0.500
Mg 0.000 0.000 0.682
Mg 0.500 0.500 0.182
Sc 0.000 0.000 0.322
Sc 0.500 0.500 0.822


[7]
Material: La2MgSc2
Method: DFT, PBE-GGA
State: optimized geometry

Computed properties:
SG: P4/mbm, No. 127
DOS at the Fermi energy (states/eV/cell): 13.1
Energy relative to the elements (eV per atom): 0.14
Energy (eV for the cell shown): -46.87

a = 7.915 Å, b = 7.915 Å, c = 4.892 Å
α = 90.00°, β = 90.00°, γ = 90.00°
Positions (direct):
La 0.152 0.348 0.000
La 0.348 0.848 0.000
La 0.652 0.152 0.000
La 0.848 0.652 0.000
Mg 0.000 0.000 0.500
Mg 0.500 0.500 0.500
Sc 0.143 0.643 0.500
Sc 0.357 0.143 0.500
Sc 0.643 0.857 0.500
Sc 0.857 0.357 0.500


[8]
Material: LaMg2Sc2
Method: DFT, PBE-GGA
State: optimized geometry

Computed properties:
SG: P4/mbm, No. 127
DOS at the Fermi energy (states/eV/cell): 12.0
Energy relative to the elements (eV per atom): 0.02
Energy (eV for the cell shown): -41.34

a = 8.872 Å, b = 8.872 Å, c = 3.355 Å
α = 90.00°, β = 90.00°, γ = 90.00°
Positions (direct):
La 0.000 0.000 0.000
La 0.500 0.500 0.000
Mg 0.170 0.330 0.500
Mg 0.330 0.830 0.500
Mg 0.670 0.170 0.500
Mg 0.830 0.670 0.500
Sc 0.126 0.626 0.000
Sc 0.374 0.126 0.000
Sc 0.626 0.874 0.000
Sc 0.874 0.374 0.000


[9]
Material: LaMgSc
Method: DFT, PBE-GGA
State: optimized geometry

Computed properties:
SG: P4/nmm, No. 129
DOS at the Fermi energy (states/eV/cell): 9.6
Energy relative to the elements (eV per atom): 0.01
Energy (eV for the cell shown): -25.65

a = 3.441 Å, b = 3.441 Å, c = 14.379 Å
α = 90.00°, β = 90.00°, γ = 90.00°
Positions (direct):
La 0.250 0.250 0.245
La 0.750 0.750 0.755
Mg 0.250 0.250 0.931
Mg 0.750 0.750 0.069
Sc 0.250 0.250 0.575
Sc 0.750 0.750 0.425


[10]
Material: La6MgSc
Method: DFT, PBE-GGA
State: optimized geometry

Computed properties:
SG: P4/mmm, No. 123
DOS at the Fermi energy (states/eV/cell): 9.6
Energy relative to the elements (eV per atom): 0.00
Energy (eV for the cell shown): -37.47

a = 5.121 Å, b = 5.121 Å, c = 10.253 Å
α = 90.00°, β = 90.00°, γ = 90.00°
Positions (direct):
La 0.000 0.000 0.000
La 0.000 0.000 0.500
La 0.000 0.500 0.247
La 0.000 0.500 0.753
La 0.500 0.000 0.247
La 0.500 0.000 0.753
Mg 0.500 0.500 0.500
Sc 0.500 0.500 0.000


[11]
Material: LaSmMgSc
Method: DFT, PBE-GGA
State: optimized geometry

Computed properties:
SG: P4mm, No. 99
DOS at the Fermi energy (states/eV/cell): 6.5
Energy relative to the elements (eV per atom): 0.00
Energy (eV for the cell shown): -17.58

a = 3.838 Å, b = 3.838 Å, c = 8.155 Å
α = 90.00°, β = 90.00°, γ = 90.00°
Positions (direct):
La 0.000 0.000 0.000
Sm 0.000 0.000 0.494
Mg 0.500 0.500 0.257
Sc 0.500 0.500 0.740


[12]
Material: LaSmMgSc
Method: DFT, PBE-GGA
State: optimized geometry

Computed properties:
SG: F-43m, No. 216
DOS at the Fermi energy (states/eV/cell): 20.6
Energy relative to the elements (eV per atom): 0.01
Energy (eV for the cell shown): -70.09

a = 7.805 Å, b = 7.805 Å, c = 7.805 Å
α = 90.00°, β = 90.00°, γ = 90.00°
Positions (direct):
La 0.000 0.000 0.000
La 0.000 0.500 0.500
La 0.500 0.000 0.500
La 0.500 0.500 0.000
Sm 0.000 0.000 0.500
Sm 0.000 0.500 0.000
Sm 0.500 0.000 0.000
Sm 0.500 0.500 0.500
Mg 0.250 0.250 0.750
Mg 0.250 0.750 0.250
Mg 0.750 0.250 0.250
Mg 0.750 0.750 0.750
Sc 0.250 0.250 0.250
Sc 0.250 0.750 0.750
Sc 0.750 0.250 0.750
Sc 0.750 0.750 0.250